--- 1 ---
# Li6TlCd3

Crystalline Li6TlCd3 at its relaxed geometry (PBE, Alexandria via LeMat-Bulk).

As for the crystal system: trigonal.

Geometry as CIF:
```
data_Li6TlCd3
_space_group_name_H-M_alt 'R 3 m'
_space_group_IT_number 160
_space_group_name_Hall 'R 3 -2"'
_cell_length_a 11.5795
_cell_length_b 11.5795
_cell_length_c 5.2828
_cell_angle_alpha 90.00
_cell_angle_beta 90.00
_cell_angle_gamma 120.00
loop_
_atom_site_label
_atom_site_type_symbol
_atom_site_fract_x
_atom_site_fract_y
_atom_site_fract_z
Li1 Li 0.0802 0.1605 0.0000
Li2 Li 0.2104 0.4207 0.0364
Tl1 Tl 0.0000 0.0000 0.5550
Cd1 Cd 0.0092 0.5046 0.2007
```


--- 2 ---
# Li6TlCd3

Crystalline Li6TlCd3 at its relaxed geometry (PBE, Alexandria via LeMat-Bulk).

As for the crystal system: monoclinic.

Geometry as CIF:
```
data_Li6TlCd3
_space_group_name_H-M_alt 'P 1 21/m 1'
_space_group_IT_number 11
_cell_length_a 8.3149
_cell_length_b 4.6526
_cell_length_c 9.9218
_cell_angle_alpha 90.00
_cell_angle_beta 104.55
_cell_angle_gamma 90.00
loop_
_space_group_symop_operation_xyz
'x,y,z'
'-x,-y,-z'
'-x,y+1/2,-z'
'x,-y+1/2,z'
loop_
_atom_site_label
_atom_site_type_symbol
_atom_site_fract_x
_atom_site_fract_y
_atom_site_fract_z
Li1 Li 0.0473 0.2500 0.3982
Li2 Li 0.1456 0.7500 0.1971
Li3 Li 0.2499 0.2500 0.9939
Li4 Li 0.3436 0.7500 0.8030
Li5 Li 0.3506 0.2500 0.2988
Li6 Li 0.4450 0.2500 0.5966
Tl1 Tl 0.4485 0.7500 0.1101
Cd1 Cd 0.0417 0.7500 0.8984
Cd2 Cd 0.1452 0.2500 0.6946
Cd3 Cd 0.2511 0.7500 0.4959
```


Stability ranking, top entry: 2; the second entry is 158 meV per atom less favorable.


--- 1 ---
# LiTl6Cd

Crystalline LiTl6Cd at its relaxed geometry (PBE, Alexandria via LeMat-Bulk).

As for the crystal system: orthorhombic.

Geometry as CIF:
```
data_LiTl6Cd
_space_group_name_H-M_alt 'C m m m'
_space_group_IT_number 65
_space_group_name_Hall '-C 2 2'
_cell_length_a 9.2805
_cell_length_b 9.4552
_cell_length_c 5.1141
_cell_angle_alpha 90.00
_cell_angle_beta 90.00
_cell_angle_gamma 90.00
loop_
_atom_site_label
_atom_site_type_symbol
_atom_site_fract_x
_atom_site_fract_y
_atom_site_fract_z
Li1 Li 0.0000 0.0000 0.0000
Tl1 Tl 0.0000 0.1955 0.5000
Tl2 Tl 0.2039 0.5000 0.5000
Tl3 Tl 0.2500 0.2500 0.0000
Cd1 Cd 0.0000 0.5000 0.0000
```


--- 2 ---
# LiTl6Cd

Crystalline LiTl6Cd at its relaxed geometry (PBE, Alexandria via LeMat-Bulk).

As for the crystal system: triclinic.

Geometry as CIF:
```
data_LiTl6Cd
_space_group_name_H-M_alt 'P -1'
_space_group_IT_number 2
_cell_length_a 5.8955
_cell_length_b 6.0691
_cell_length_c 6.5371
_cell_angle_alpha 86.99
_cell_angle_beta 88.92
_cell_angle_gamma 80.79
loop_
_space_group_symop_operation_xyz
'x,y,z'
'-x,-y,-z'
loop_
_atom_site_label
_atom_site_type_symbol
_atom_site_fract_x
_atom_site_fract_y
_atom_site_fract_z
Li1 Li 0.0000 0.0000 0.0000
Tl1 Tl 0.0313 0.4616 0.2463
Tl2 Tl 0.2461 0.9938 0.5816
Tl3 Tl 0.4857 0.7492 0.0649
Cd1 Cd 0.5000 0.5000 0.5000
```


Stability ranking, top entry: 1; the second entry is 13 meV per atom less favorable.


--- 1 ---
# Li2TlCd2

Crystalline Li2TlCd2 at its relaxed geometry (PBE, Alexandria via LeMat-Bulk).

As for the crystal system: tetragonal.

Geometry as CIF:
```
data_Li2TlCd2
_space_group_name_H-M_alt 'I 4/m m m'
_space_group_IT_number 139
_space_group_name_Hall '-I 4 2'
_cell_length_a 4.1244
_cell_length_b 4.1244
_cell_length_c 13.8667
_cell_angle_alpha 90.00
_cell_angle_beta 90.00
_cell_angle_gamma 90.00
loop_
_atom_site_label
_atom_site_type_symbol
_atom_site_fract_x
_atom_site_fract_y
_atom_site_fract_z
Li1 Li 0.0000 0.5000 0.2500
Tl1 Tl 0.0000 0.0000 0.0000
Cd1 Cd 0.0000 0.0000 0.3918
```


--- 2 ---
# Li2TlCd2

Crystalline Li2TlCd2 at its relaxed geometry (PBE, Alexandria via LeMat-Bulk).

As for the crystal system: monoclinic.

Geometry as CIF:
```
data_Li2TlCd2
_space_group_name_H-M_alt 'C 1 2/m 1'
_space_group_IT_number 12
_cell_length_a 9.0356
_cell_length_b 4.5225
_cell_length_c 6.5389
_cell_angle_alpha 90.00
_cell_angle_beta 128.68
_cell_angle_gamma 90.00
loop_
_space_group_symop_operation_xyz
'x,y,z'
'-x,-y,-z'
'-x,y,-z'
'x,-y,z'
'x+1/2,y+1/2,z'
'-x+1/2,-y+1/2,-z'
'-x+1/2,y+1/2,-z'
'x+1/2,-y+1/2,z'
loop_
_atom_site_label
_atom_site_type_symbol
_atom_site_fract_x
_atom_site_fract_y
_atom_site_fract_z
Li1 Li 0.0954 0.0000 0.3015
Tl1 Tl 0.0000 0.5000 0.5000
Cd1 Cd 0.1989 0.5000 0.1109
```


Stability ranking, top entry: 2; the second entry is 130 meV per atom less favorable.


--- 1 ---
# Li2TlCd2

Crystalline Li2TlCd2 at its relaxed geometry (PBE, Alexandria via LeMat-Bulk).

As for the crystal system: tetragonal.

Geometry as CIF:
```
data_Li2TlCd2
_space_group_name_H-M_alt 'P 4/m b m'
_space_group_IT_number 127
_space_group_name_Hall '-P 4 2ab'
_cell_length_a 8.0794
_cell_length_b 8.0794
_cell_length_c 3.2731
_cell_angle_alpha 90.00
_cell_angle_beta 90.00
_cell_angle_gamma 90.00
loop_
_atom_site_label
_atom_site_type_symbol
_atom_site_fract_x
_atom_site_fract_y
_atom_site_fract_z
Li1 Li 0.1655 0.3345 0.0000
Tl1 Tl 0.0000 0.0000 0.5000
Cd1 Cd 0.1308 0.6308 0.5000
```


--- 2 ---
# Li2TlCd2

Crystalline Li2TlCd2 at its relaxed geometry (PBE, Alexandria via LeMat-Bulk).

As for the crystal system: tetragonal.

Geometry as CIF:
```
data_Li2TlCd2
_space_group_name_H-M_alt 'P 4/m b m'
_space_group_IT_number 127
_space_group_name_Hall '-P 4 2ab'
_cell_length_a 7.9253
_cell_length_b 7.9253
_cell_length_c 3.3603
_cell_angle_alpha 90.00
_cell_angle_beta 90.00
_cell_angle_gamma 90.00
loop_
_atom_site_label
_atom_site_type_symbol
_atom_site_fract_x
_atom_site_fract_y
_atom_site_fract_z
Li1 Li 0.1486 0.3514 0.0000
Tl1 Tl 0.0000 0.0000 0.0000
Cd1 Cd 0.1432 0.6432 0.5000
```


Stability ranking, top entry: 1; the second entry is 15 meV per atom less favorable.